GdZrCuRe: optimized geometry, PBE.

ΔH_f (0 K) = -0.0396 eV/atom
size of the total moment = 7.2 μB per formula unit
final energy = -9.833 eV/atom

CIF file:
```
data_GdZrCuRe
_space_group_name_H-M_alt 'F -4 3 m'
_space_group_IT_number 216
_space_group_name_Hall 'F -4 2 3'
_cell_length_a 6.756
_cell_length_b 6.756
_cell_length_c 6.756
_cell_angle_alpha 90.00
_cell_angle_beta 90.00
_cell_angle_gamma 90.00
loop_
_atom_site_label
_atom_site_fract_x
_atom_site_fract_y
_atom_site_fract_z
Gd1 0.000 0.000 0.000
Zr1 0.000 0.000 0.500
Cu1 0.250 0.250 0.750
Re1 0.250 0.250 0.250
```